Record 1
{
  "formula": "DyEr2Fe8Ni",
  "functional": "PBE",
  "state": "relaxed",
  "sg": "R-3m",
  "total_magnetization_mub_per_fu": 17.05,
  "formation_energy_kj_per_mol_atoms": -12,
  "final_energy_ev_per_atom": -7.28,
  "lattice": [[2.5213, 1.4557, 8.0931], [-2.5213, 1.4557, 8.0931], [0.0000, -2.9113, 8.0931]],
  "species": ["Dy", "Er", "Er", "Fe", "Fe", "Fe", "Fe", "Fe", "Fe", "Fe", "Fe", "Ni"],
  "fractional_positions": [[0.0000, 0.0000, 0.0000], [0.1420, 0.1420, 0.1420], [0.8580, 0.8580, 0.8580], [0.0798, 0.5827, 0.5827], [0.3330, 0.3330, 0.3330], [0.4173, 0.4173, 0.9202], [0.4173, 0.9202, 0.4173], [0.5827, 0.0798, 0.5827], [0.5827, 0.5827, 0.0798], [0.6670, 0.6670, 0.6670], [0.9202, 0.4173, 0.4173], [0.5000, 0.5000, 0.5000]]
}

=====

Record 2
{
  "formula": "DyErFe2Si4",
  "functional": "PBE",
  "state": "relaxed",
  "sg": "Amm2",
  "total_magnetization_mub_per_fu": 0.05,
  "final_energy_ev_per_atom": -6.54,
  "lattice": [[3.9323, 0.0000, 0.0000], [0.0000, 2.0055, 8.2546], [0.0000, -2.0055, 8.2546]],
  "species": ["Dy", "Er", "Fe", "Fe", "Si", "Si", "Si", "Si"],
  "fractional_positions": [[0.0000, 0.0000, 0.0000], [0.5000, 0.7827, 0.7827], [0.0000, 0.2141, 0.2141], [0.5000, 0.5691, 0.5691], [0.0000, 0.3487, 0.3487], [0.0000, 0.6423, 0.6423], [0.5000, 0.1415, 0.1415], [0.5000, 0.4338, 0.4338]]
}

=====

Record 3
{
  "formula": "DyErFe2Si2",
  "functional": "PBE",
  "state": "relaxed",
  "sg": "P4mm",
  "total_magnetization_mub_per_fu": 0.09,
  "final_energy_ev_per_atom": -6.75,
  "lattice": [[4.0261, 0.0000, 0.0000], [0.0000, 4.0261, 0.0000], [0.0000, 0.0000, 6.4296]],
  "species": ["Dy", "Er", "Fe", "Fe", "Si", "Si"],
  "fractional_positions": [[0.0000, 0.0000, 0.0000], [0.5000, 0.5000, 0.3687], [0.0000, 0.5000, 0.6805], [0.5000, 0.0000, 0.6805], [0.0000, 0.0000, 0.5001], [0.5000, 0.5000, 0.8627]]
}

=====

Record 4
{
  "formula": "Dy3Er4Fe2Te2",
  "functional": "PBE",
  "state": "relaxed",
  "sg": "Imm2",
  "total_magnetization_mub_per_fu": 0.51,
  "final_energy_ev_per_atom": -5.49,
  "lattice": [[-1.9329, 7.8386, 4.6355], [1.9329, -7.8386, 4.6355], [1.9329, 7.8386, -4.6355]],
  "species": ["Dy", "Dy", "Dy", "Er", "Er", "Er", "Er", "Fe", "Fe", "Te", "Te"],
  "fractional_positions": [[0.0000, 0.0000, 0.0000], [0.0855, 0.7364, 0.3492], [0.3872, 0.7364, 0.6508], [0.0617, 0.3759, 0.6858], [0.4464, 0.5828, 0.8636], [0.6901, 0.3759, 0.3142], [0.7191, 0.5828, 0.1364], [0.3051, 0.0673, 0.2378], [0.8295, 0.0673, 0.7622], [0.3372, 0.3372, 0.0000], [0.7327, 0.2327, 0.5000]]
}

=====

Record 5
{
  "formula": "Dy4Er3Fe2Te2",
  "functional": "PBE",
  "state": "relaxed",
  "sg": "Imm2",
  "total_magnetization_mub_per_fu": 0.65,
  "final_energy_ev_per_atom": -5.48,
  "lattice": [[-1.9344, 7.8267, 4.6735], [1.9344, -7.8267, 4.6735], [1.9344, 7.8267, -4.6735]],
  "species": ["Dy", "Dy", "Dy", "Dy", "Er", "Er", "Er", "Fe", "Fe", "Te", "Te"],
  "fractional_positions": [[0.1356, 0.0000, 0.1356], [0.5014, 0.1511, 0.3503], [0.8009, 0.1511, 0.6497], [0.8644, 0.0000, 0.8644], [0.1075, 0.7936, 0.3139], [0.4187, 0.4187, 0.0000], [0.4797, 0.7936, 0.6861], [0.2487, 0.4848, 0.7639], [0.7209, 0.4848, 0.2361], [0.1538, 0.6538, 0.5000], [0.7531, 0.7531, 0.0000]]
}

=====

Record 6
{
  "formula": "Dy4ErTm2Fe2Te2",
  "functional": "PBE",
  "state": "relaxed",
  "sg": "Imm2",
  "total_magnetization_mub_per_fu": 0.58,
  "final_energy_ev_per_atom": -5.47,
  "lattice": [[-1.9318, 7.8241, 4.6808], [1.9318, -7.8241, 4.6808], [1.9318, 7.8241, -4.6808]],
  "species": ["Dy", "Dy", "Dy", "Dy", "Er", "Tm", "Tm", "Fe", "Fe", "Te", "Te"],
  "fractional_positions": [[0.1356, 0.0000, 0.1356], [0.4993, 0.1488, 0.3506], [0.7982, 0.1488, 0.6494], [0.8644, 0.0000, 0.8644], [0.4176, 0.4176, 0.0000], [0.1075, 0.7945, 0.3130], [0.4815, 0.7945, 0.6870], [0.2510, 0.4871, 0.7639], [0.7231, 0.4871, 0.2361], [0.1546, 0.6546, 0.5000], [0.7530, 0.7530, 0.0000]]
}

=====

Record 7
{
  "formula": "Dy3Er2Tm2Fe2Te2",
  "functional": "PBE",
  "state": "relaxed",
  "sg": "Imm2",
  "total_magnetization_mub_per_fu": 0.72,
  "final_energy_ev_per_atom": -5.47,
  "lattice": [[-1.9183, 7.8014, 4.6612], [1.9183, -7.8014, 4.6612], [1.9183, 7.8014, -4.6612]],
  "species": ["Dy", "Dy", "Dy", "Er", "Er", "Tm", "Tm", "Fe", "Fe", "Te", "Te"],
  "fractional_positions": [[0.0000, 0.0000, 0.0000], [0.4451, 0.5809, 0.8643], [0.7166, 0.5809, 0.1357], [0.0619, 0.3745, 0.6874], [0.6871, 0.3745, 0.3126], [0.0807, 0.7308, 0.3499], [0.3810, 0.7308, 0.6501], [0.3054, 0.0695, 0.2359], [0.8335, 0.0695, 0.7641], [0.3334, 0.3334, 0.0000], [0.7348, 0.2348, 0.5000]]
}

=====

Record 8
{
  "formula": "DyY2Er2Tm2Fe2Te2",
  "functional": "PBE",
  "state": "relaxed",
  "sg": "Imm2",
  "total_magnetization_mub_per_fu": 0.67,
  "final_energy_ev_per_atom": -5.82,
  "lattice": [[-1.9360, 7.8339, 4.6490], [1.9360, -7.8339, 4.6490], [1.9360, 7.8339, -4.6490]],
  "species": ["Dy", "Y", "Y", "Er", "Er", "Tm", "Tm", "Fe", "Fe", "Te", "Te"],
  "fractional_positions": [[0.0000, 0.0000, 0.0000], [0.6133, 0.2634, 0.3499], [0.9135, 0.2634, 0.6501], [0.2798, 0.4157, 0.8641], [0.5516, 0.4157, 0.1359], [0.3098, 0.6232, 0.6866], [0.9367, 0.6232, 0.3134], [0.1707, 0.9322, 0.2384], [0.6938, 0.9322, 0.7616], [0.2655, 0.7655, 0.5000], [0.6624, 0.6624, 0.0000]]
}